# Dy2Cu2B2CN

Crystalline Dy2Cu2B2CN at its relaxed geometry (PBE, OQMD via LeMat-Bulk).

```
data_Dy2Cu2B2CN
_cell_length_a 3.542
_cell_length_b 3.542
_cell_length_c 7.798
_cell_angle_alpha 90.00
_cell_angle_beta 90.00
_cell_angle_gamma 90.00
_space_group_name_H-M_alt 'P 4 m m'
_space_group_IT_number 99
loop_
_space_group_symop_operation_xyz
'x,y,z'
'-y,x,z'
'-x,-y,z'
'y,-x,z'
'-x,y,z'
'y,x,z'
'x,-y,z'
'-y,-x,z'
loop_
_atom_site_label
_atom_site_type_symbol
_atom_site_fract_x
_atom_site_fract_y
_atom_site_fract_z
Dy1 Dy 0.000 0.000 0.000
Dy2 Dy 0.500 0.500 0.320
Cu1 Cu 0.000 0.500 0.651
B1 B 0.000 0.000 0.479
B2 B 0.500 0.500 0.825
C1 C 0.500 0.500 0.012
N1 N 0.000 0.000 0.296
```

Calculated values
Final energy: -6.570 eV/atom
Magnetization: 0.00 μB per cell
Calculated density: 8.48 g/cm³